Material: TbCeRh3
Method: DFT, PBE
State: optimized geometry

Calculated values
Symmetry ... No. 12
V ... 20.27 Å³ per atom
Total magnetization ... 0.3 μB per formula unit
Formation energy from the elements ... -650 meV/atom

Unit cell a=7.581 b=7.581 c=4.088 alpha=93.94 beta=93.94 gamma=59.94
Atoms (fractional coordinates):
Tb  0.000  0.500  0.000
Tb  0.500  0.000  0.000
Ce  0.000  0.000  0.000
Ce  0.500  0.500  0.000
Rh  0.086  0.710  0.531
Rh  0.290  0.914  0.469
Rh  0.299  0.299  0.519
Rh  0.701  0.701  0.481
Rh  0.710  0.086  0.531
Rh  0.914  0.290  0.469